BaSr5 PBE optimized geometry; ρ = 2.8 g/cm³; DFT total energy = -1.720 eV per atom; magnetization = 0.0 Bohr magnetons per cell; relative energy among the computed polymorphs = 1 meV per atom
1.0
3.038 -9.061 0.000
3.038 9.061 0.000
0.000 0.000 6.116
Ba Sr
1 5
Direct
0.000 0.000 0.000
0.168 0.832 0.500
0.331 0.669 0.000
0.500 0.500 0.500
0.669 0.331 0.000
0.832 0.168 0.500